Density functional theory data (PBE-GGA) for a relaxed structure of CaUCl6.

For the magnetic moment, the calculation gives 2.000 μB/cell. The raw formation energy is -190.3 kJ per mole of atoms. As for the volume: 259 Å³ per cell. For the density of states at the Fermi level, the calculation gives 4.60 states/eV/f.u.

The space group is P-1 (No. 2) and the conventional cell measures 6.954, 6.956 and 7.368 Å, with angles of 61.90, 61.90 and 60.01 degrees. The distinct sites, in fractional coordinates, are Ca at (0.000, 0.000, 0.000), U at (0.500, 0.500, 0.500), Cl at (0.121, 0.740, 0.745), Cl at (0.262, 0.607, 0.253) and Cl at (0.393, 0.122, 0.746).